[1]
A geometry-optimized Li4PrHg5 structure. Source: the Alexandria database, functional PBE.

Cell lengths 3.472, 3.472, 17.067 Å; angles 90.00, 90.00, 90.00 degrees
Space group P4/mmm (No. 123)
Unique sites:
Li 0.000 0.000 0.092 [2 per cell]
Li 0.000 0.000 0.277 [2 per cell]
Pr 0.000 0.000 0.500 [1 per cell]
Hg 0.500 0.500 0.000 [1 per cell]
Hg 0.500 0.500 0.184 [2 per cell]
Hg 0.500 0.500 0.370 [2 per cell]

Values from the calculation:
DFT formation energy: -0.3717 eV/atom
calculated density: 9.5 Mg/m³
crystal system: tetragonal

[2]
A geometry-optimized Tm4PdRh3 structure. Source: the Alexandria database, functional PBE.

Cell lengths 4.762, 4.762, 6.917 Å; angles 90.00, 90.00, 90.00 degrees
Space group P4/mmm (No. 123)
Unique sites:
Tm 0.000 0.500 0.247 [4 per cell]
Pd 0.000 0.000 0.500 [1 per cell]
Rh 0.000 0.000 0.000 [1 per cell]
Rh 0.500 0.500 0.000 [1 per cell]
Rh 0.500 0.500 0.500 [1 per cell]

Values from the calculation:
DFT formation energy: -0.9628 eV/atom
calculated density: 11.5 Mg/m³
crystal system: tetragonal

[3]
A geometry-optimized Re2BCl structure. Source: the Alexandria database, functional PBE.

Cell lengths 5.230, 5.230, 9.212 Å; angles 90.00, 90.00, 90.00 degrees
Space group I-42d (No. 122)
Unique sites:
Re 0.209 0.250 0.125 [8 per cell]
B 0.000 0.000 0.000 [4 per cell]
Cl 0.000 0.000 0.500 [4 per cell]

Values from the calculation:
calculated density: 11.0 Mg/m³
energy relative to the lowest polymorph listed for this composition: 0.081 eV per atom
crystal system: tetragonal

[4]
A geometry-optimized MgSc3In2 structure. Source: the Alexandria database, functional PBE.

Cell lengths 5.0249, 5.0249, 12.3174 Å; angles 90.00, 90.00, 120.00 degrees
Space group P-3m1 (No. 164)
Unique sites:
Mg 0.3333 0.6667 0.1681 [2 per cell]
Sc 0.0000 0.0000 0.2511 [2 per cell]
Sc 0.3333 0.6667 0.4194 [2 per cell]
Sc 0.3333 0.6667 0.9194 [2 per cell]
In 0.0000 0.0000 0.0000 [1 per cell]
In 0.0000 0.0000 0.5000 [1 per cell]
In 0.3333 0.6667 0.6760 [2 per cell]

Values from the calculation:
DFT formation energy: -0.3446 eV/atom
calculated density: 4.8 Mg/m³
energy relative to the lowest polymorph listed for this composition: 0.000 eV per atom
crystal system: trigonal

[5]
A geometry-optimized VCoCl2 structure. Source: the Alexandria database, functional PBE.

Cell lengths 3.3801, 3.3801, 23.0281 Å; angles 90.00, 90.00, 120.00 degrees
Space group R-3m (No. 166, hexagonal axes)
Unique sites:
V 0.0000 0.0000 0.0000 [3 per cell]
Co 0.0000 0.0000 0.5000 [3 per cell]
Cl 0.0000 0.0000 0.1046 [6 per cell]

Values from the calculation:
calculated density: 4.0 Mg/m³
energy relative to the lowest polymorph listed for this composition: 0.161 eV per atom
crystal system: trigonal

[6]
A geometry-optimized Pu2CdO structure. Source: the Alexandria database, functional PBE.

Cell lengths 3.058, 3.058, 8.390 Å; angles 90.00, 90.00, 90.00 degrees
Space group P4/mmm (No. 123)
Unique sites:
Pu 0.000 0.000 0.188 [2 per cell]
Cd 0.500 0.500 0.500 [1 per cell]
O 0.500 0.500 0.000 [1 per cell]

Values from the calculation:
calculated density: 13.0 Mg/m³
energy relative to the lowest polymorph listed for this composition: 0.023 eV per atom
crystal system: tetragonal

[7]
A geometry-optimized NdGa4Co4 structure. Source: the Alexandria database, functional PBE.

Cell lengths 5.618, 5.618, 8.540 Å; angles 90.00, 90.00, 90.00 degrees
Space group P4_2/nmc (No. 137, origin choice 2)
Unique sites:
Nd 0.250 0.750 0.250 [2 per cell]
Ga 0.030 0.250 0.056 [8 per cell]
Co 0.029 0.250 0.343 [8 per cell]

Values from the calculation:
DFT formation energy: -0.2740 eV/atom
calculated density: 8.1 Mg/m³
crystal system: tetragonal

Q: calculated density of number 5 (VCoCl2)?
A: 4.0 Mg/m³